[1]
First-principles (PBE) data for a geometry-optimized Rb2TiOsF6 structure, as listed in Alexandria via LeMat-Bulk.

- DFT total energy: -5.41 eV per atom
- Energy relative to the elements, uncorrected: -2.185 eV per atom
- ρ: 4.7 g/cm3
- V: 18.482 Å³ per atom
- M_tot: 0.00 μB per cell

Geometry as POSCAR:
```
Rb2TiOsF6
1.0
5.665 0.000 0.000
0.000 5.665 0.000
2.832 2.832 5.760
F Os Ti Rb
6 1 1 2
direct
0.743 0.257 0.000
0.670 0.670 0.659
0.257 0.257 0.000
0.330 0.330 0.341
0.743 0.743 0.000
0.257 0.743 0.000
0.000 0.000 0.000
0.500 0.500 0.000
0.750 0.250 0.500
0.250 0.750 0.500
```

[2]
First-principles (PBE) data for a geometry-optimized HoTm2Rh3 structure, as listed in Alexandria via LeMat-Bulk.

- DFT total energy: -6.88 eV per atom
- ρ: 11.5 g/cm3
- V: 19.450 Å³ per atom
- M_tot: 0.00 μB per cell
- Energy of formation from the pure elements: -948 meV/atom

Geometry as POSCAR:
```
HoTm2Rh3
1.0
3.391 0.000 0.000
0.000 3.391 0.000
0.000 0.000 10.149
Tm Ho Rh
2 1 3
direct
0.500 0.500 0.834
0.500 0.500 0.166
0.500 0.500 0.500
0.000 0.000 0.669
0.000 0.000 0.000
0.000 0.000 0.331
```

[3]
First-principles (PBE) data for a geometry-optimized LaSn2Sb structure, as listed in Alexandria via LeMat-Bulk.

- DFT total energy: -4.14 eV per atom
- Energy relative to the elements, uncorrected: 0.124 eV per atom
- ρ: 6.1 g/cm3
- V: 33.794 Å³ per atom
- M_tot: 0.00 μB per cell

Geometry as POSCAR:
```
LaSn2Sb
1.0
3.838 0.000 0.000
1.919 3.324 0.000
1.919 1.108 10.595
Sn La Sb
2 1 1
direct
0.898 0.898 0.306
0.102 0.102 0.694
0.000 0.000 0.000
0.500 0.500 0.500
```

[4]
First-principles (PBE) data for a geometry-optimized SmTh2Bi3 structure, as listed in Alexandria via LeMat-Bulk.

- DFT total energy: -5.82 eV per atom
- ρ: 9.8 g/cm3
- V: 35.222 Å³ per atom
- M_tot: 0.00 μB per cell
- Energy of formation from the pure elements: -617 meV/atom

Geometry as POSCAR:
```
SmTh2Bi3
1.0
-0.658 -1.734 4.189
-6.048 -4.201 -5.194
9.477 -5.698 -0.870
Th Bi Sm
4 6 2
direct
0.666 0.333 0.832
0.334 0.667 0.168
0.833 0.666 0.667
0.167 0.334 0.333
0.362 0.725 0.473
0.694 0.387 0.138
0.638 0.275 0.527
0.972 0.945 0.194
0.028 0.055 0.806
0.306 0.613 0.862
0.000 0.000 0.500
0.500 0.000 0.000
```

[5]
First-principles (PBE) data for a geometry-optimized Ba2LaCu structure, as listed in Alexandria via LeMat-Bulk.

- DFT total energy: -3.18 eV per atom
- ρ: 4.9 g/cm3
- V: 40.297 Å³ per atom
- M_tot: 0.00 μB per cell
- Energy of formation from the pure elements: 42 meV/atom

Geometry as POSCAR:
```
Ba2LaCu
1.0
3.923 0.000 0.000
0.000 3.924 0.003
0.000 3.931 10.475
La Cu Ba
1 1 2
direct
0.500 0.835 0.666
0.000 0.468 0.534
0.500 0.174 0.327
0.000 0.024 0.973
```

[6]
First-principles (PBE) data for a geometry-optimized ScGeNF structure, as listed in Alexandria via LeMat-Bulk.

- DFT total energy: -6.97 eV per atom
- Energy relative to the elements, uncorrected: -1.686 eV per atom
- ρ: 3.9 g/cm3
- V: 16.100 Å³ per atom
- M_tot: 0.00 μB per cell

Geometry as POSCAR:
```
ScGeNF
1.0
2.912 0.000 0.002
0.000 3.065 0.000
-0.623 0.000 7.214
Sc Ge N F
1 1 1 1
direct
0.656 0.000 0.293
0.233 0.500 0.657
0.178 0.500 0.395
0.111 0.000 0.087
```

[7]
First-principles (PBE) data for a geometry-optimized Li2RePb structure, as listed in Alexandria via LeMat-Bulk.

- DFT total energy: -4.58 eV per atom
- ρ: 9.4 g/cm3
- V: 17.964 Å³ per atom
- M_tot: 0.00 μB per cell
- Energy of formation from the pure elements: 417 meV/atom

Geometry as POSCAR:
```
Li2RePb
1.0
-2.208 -1.612 -0.679
1.265 -0.715 -2.414
3.885 -7.058 4.126
Re Li Pb
1 2 1
direct
0.500 0.500 0.750
0.000 0.000 0.977
0.000 0.000 0.523
0.500 0.500 0.250
```

[8]
First-principles (PBE) data for a geometry-optimized LaTm7Tl4 structure, as listed in Alexandria via LeMat-Bulk.

- DFT total energy: -3.79 eV per atom
- ρ: 10.0 g/cm3
- V: 29.524 Å³ per atom
- M_tot: 0.00 μB per cell
- Energy of formation from the pure elements: 13 meV/atom

Geometry as POSCAR:
```
LaTm7Tl4
1.0
-5.236 -0.845 2.056
-2.210 -8.783 -1.370
0.229 -3.604 6.972
Tm Tl La
7 4 1
direct
0.792 0.877 0.540
0.065 0.596 0.273
0.270 0.671 0.789
0.208 0.123 0.460
0.500 0.000 0.000
0.730 0.329 0.211
0.935 0.404 0.727
0.561 0.252 0.626
0.439 0.748 0.374
0.315 0.334 0.036
0.685 0.666 0.964
0.000 0.000 0.000
```

[9]
First-principles (PBE) data for a geometry-optimized YFeAs structure, as listed in Alexandria via LeMat-Bulk.

- DFT total energy: -7.22 eV per atom
- ρ: 6.4 g/cm3
- V: 18.981 Å³ per atom
- M_tot: 1.90 μB per cell
- Energy of formation from the pure elements: -690 meV/atom

Geometry as POSCAR:
```
YFeAs
1.0
-0.280 1.198 -3.909
-1.265 -3.741 1.092
-3.586 1.414 0.691
Y As Fe
1 1 1
direct
0.333 0.667 0.667
0.000 0.000 0.167
0.667 0.333 0.167
```

[10]
First-principles (PBE) data for a geometry-optimized Sn2HgBiSe4 structure, as listed in Alexandria via LeMat-Bulk.

- DFT total energy: -3.56 eV per atom
- Energy relative to the elements, uncorrected: -0.292 eV per atom
- ρ: 7.3 g/cm3
- V: 27.418 Å³ per atom
- M_tot: 0.00 μB per cell

Geometry as POSCAR:
```
Sn2HgBiSe4
1.0
4.245 0.000 0.000
0.000 7.376 -0.131
0.000 2.610 6.959
Sn Se Hg Bi
2 4 1 1
direct
0.500 0.000 0.500
0.000 0.000 0.000
0.500 0.247 0.745
0.500 0.753 0.255
0.000 0.245 0.255
0.000 0.755 0.745
0.500 0.500 0.000
0.000 0.500 0.500
```

[11]
First-principles (PBE) data for a geometry-optimized Hg3PPd structure, as listed in Alexandria via LeMat-Bulk.

- DFT total energy: -1.70 eV per atom
- ρ: 8.3 g/cm3
- V: 29.428 Å³ per atom
- M_tot: 2.39 μB per cell
- Energy of formation from the pure elements: 599 meV/atom

Geometry as POSCAR:
```
Hg3PPd
1.0
5.279 0.000 0.000
0.000 5.279 0.000
0.000 0.000 5.279
P Hg Pd
1 3 1
direct
0.500 0.500 0.500
0.000 0.000 0.500
0.000 0.500 0.000
0.500 0.000 0.000
0.000 0.000 0.000
```

[12]
First-principles (PBE) data for a geometry-optimized AcHf2C structure, as listed in Alexandria via LeMat-Bulk.

- DFT total energy: -8.49 eV per atom
- ρ: 10.9 g/cm3
- V: 22.693 Å³ per atom
- M_tot: 0.00 μB per cell
- Energy of formation from the pure elements: -176 meV/atom

Geometry as POSCAR:
```
AcHf2C
1.0
3.356 0.000 0.000
1.678 2.906 0.000
1.678 0.969 9.309
C Ac Hf
1 1 2
direct
0.500 0.500 0.500
0.000 0.000 0.000
0.123 0.123 0.630
0.877 0.877 0.370
```